First-principles (GGA-PBEsol) data for crystalline K2BaBr at its relaxed geometry, as listed in Alexandria via LeMat-Bulk.

Properties
- Size of the total moment: 0.0 Bohr magnetons per cell
- Energy above the most stable polymorph in this dataset: 0.1013 eV per atom
- Formation energy without anion corrections: -620.1 meV per atom
- VASP energy: -2.19 eV per atom

```
data_K2BaBr
_cell_length_a 11.656
_cell_length_b 11.656
_cell_length_c 6.497
_cell_angle_alpha 90.00
_cell_angle_beta 90.00
_cell_angle_gamma 90.00
_symmetry_space_group_name_H-M 'I -4 2 d'
_symmetry_Int_Tables_number 122
_symmetry_space_group_name_Hall 'I -4 2bw'
loop_
_atom_site_label
_atom_site_type_symbol
_atom_site_fract_x
_atom_site_fract_y
_atom_site_fract_z
_atom_site_occupancy
K1 K 0.144 0.750 0.125 1
Ba1 Ba 0.000 0.000 0.500 1
Br1 Br 0.000 0.000 0.000 1
```



First-principles (GGA-PBEsol) data for crystalline KBaBr2O at its relaxed geometry, as listed in Alexandria via LeMat-Bulk.

Properties
- Size of the total moment: 0.0 Bohr magnetons per cell
- Formation energy without anion corrections: -1490.8 meV per atom
- VASP energy: -3.95 eV per atom

```
data_KBaBr2O
_cell_length_a 6.309
_cell_length_b 6.309
_cell_length_c 4.517
_cell_angle_alpha 90.00
_cell_angle_beta 90.00
_cell_angle_gamma 90.00
_symmetry_space_group_name_H-M 'P 4/m m m'
_symmetry_Int_Tables_number 123
_symmetry_space_group_name_Hall '-P 4 2'
loop_
_atom_site_label
_atom_site_type_symbol
_atom_site_fract_x
_atom_site_fract_y
_atom_site_fract_z
_atom_site_occupancy
K1 K 0.000 0.000 0.000 1
Ba1 Ba 0.500 0.500 0.500 1
Br1 Br 0.000 0.500 0.500 1
O1 O 0.500 0.500 0.000 1
```



> Which value of size of the total moment does entry 2 give?

0.0 Bohr magnetons per cell



Repeat the second record exactly.
First-principles (GGA-PBEsol) data for crystalline KBaBr2O at its relaxed geometry, as listed in Alexandria via LeMat-Bulk.

Properties
- Size of the total moment: 0.0 Bohr magnetons per cell
- Formation energy without anion corrections: -1490.8 meV per atom
- VASP energy: -3.95 eV per atom

```
data_KBaBr2O
_cell_length_a 6.309
_cell_length_b 6.309
_cell_length_c 4.517
_cell_angle_alpha 90.00
_cell_angle_beta 90.00
_cell_angle_gamma 90.00
_symmetry_space_group_name_H-M 'P 4/m m m'
_symmetry_Int_Tables_number 123
_symmetry_space_group_name_Hall '-P 4 2'
loop_
_atom_site_label
_atom_site_type_symbol
_atom_site_fract_x
_atom_site_fract_y
_atom_site_fract_z
_atom_site_occupancy
K1 K 0.000 0.000 0.000 1
Ba1 Ba 0.500 0.500 0.500 1
Br1 Br 0.000 0.500 0.500 1
O1 O 0.500 0.500 0.000 1
```



> Look up the VASP energy of the second one.

-3.95 eV per atom



> Among the records above, which one has the lowest VASP energy?

KBaBr2O